[1]
Here is crystalline Tm6MgOs2 at its relaxed geometry from the Alexandria database. Energies are from PBE-GGA.

```
Tm6MgOs2
1.0
-4.651 4.681 5.250
4.651 -4.681 5.250
4.651 4.681 -5.250
Tm Mg Os
12 2 4
Cartesian
4.651 2.738 -2.691
2.650 1.725 0.000
6.652 1.725 0.000
1.705 4.681 -1.768
2.946 0.000 3.482
0.000 1.943 2.559
4.651 2.738 2.691
1.705 4.681 1.768
2.946 0.000 7.019
-2.001 2.956 5.250
2.001 2.956 5.250
0.000 1.943 7.942
0.000 0.000 0.000
0.000 0.000 5.250
4.651 0.000 1.310
0.000 2.950 0.000
0.000 6.413 0.000
0.000 4.681 3.941
```

For the magnetization, the calculation gives 0.00 μB per cell. As for the space group: Immm, No. 71. As for the calculated density: 10.30 g/cm3. The calculation puts the electronic total energy at -5.894 eV per atom. As for the density of states at the Fermi level: 8.39 states/eV/f.u. The calculation puts the formation energy at -240 meV per atom.

---

[2]
Here is crystalline Tm5Mg2Os at its relaxed geometry from the Alexandria database. Energies are from PBE-GGA.

```
Tm5Mg2Os
1.0
2.633 -5.594 0.000
2.633 5.594 0.000
0.000 0.000 13.922
Tm Mg Os
10 4 2
Cartesian
2.633 5.471 10.442
2.633 4.060 0.707
2.633 4.060 6.254
2.633 0.934 1.590
2.633 0.934 5.372
2.633 -0.934 8.551
2.633 -0.934 12.333
2.633 -4.060 7.668
2.633 -4.060 13.215
2.633 -5.471 3.481
2.633 2.426 9.075
2.633 2.426 11.809
2.633 -2.426 2.114
2.633 -2.426 4.847
2.633 2.976 3.481
2.633 -2.976 10.442
```

For the magnetization, the calculation gives 0.00 μB per cell. As for the space group: Cmcm, No. 63. As for the calculated density: 8.77 g/cm3. The calculation puts the electronic total energy at -4.632 eV per atom. As for the density of states at the Fermi level: 8.01 states/eV/f.u. The calculation puts the formation energy at -35 meV per atom.

---

[3]
Here is crystalline YTmMgOs at its relaxed geometry from the Alexandria database. Energies are from PBE-GGA.

```
YTmMgOs
1.0
7.031 0.000 0.000
0.000 7.031 0.000
0.000 0.000 7.031
Y Tm Mg Os
4 4 4 4
Cartesian
0.000 0.000 0.000
0.000 3.515 3.515
3.515 0.000 3.515
3.515 3.515 0.000
0.000 0.000 3.515
0.000 3.515 0.000
3.515 0.000 0.000
3.515 3.515 3.515
1.758 1.758 5.273
1.758 5.273 1.758
5.273 1.758 1.758
5.273 5.273 5.273
1.758 1.758 1.758
1.758 5.273 5.273
5.273 1.758 5.273
5.273 5.273 1.758
```

As for the excess energy over the best structure of this formula in the dataset: 58.0 meV per atom. For the magnetization, the calculation gives 0.00 μB per cell. As for the space group: F-43m, No. 216. As for the calculated density: 9.03 g/cm3. The calculation puts the electronic total energy at -6.102 eV per atom. As for the density of states at the Fermi level: 3.58 states/eV/f.u. The calculation puts the formation energy at -162 meV per atom.

---

[4]
Here is crystalline YTmMgOs at its relaxed geometry from the Alexandria database. Energies are from PBE-GGA.

```
YTmMgOs
1.0
3.429 0.000 0.000
0.000 3.429 0.000
0.000 0.000 8.064
Y Tm Mg Os
1 1 1 1
Cartesian
0.000 0.000 0.000
0.000 0.000 4.795
1.715 1.715 2.430
1.715 1.715 6.382
```

As for the excess energy over the best structure of this formula in the dataset: 0.0 meV per atom. For the magnetization, the calculation gives 0.00 μB per cell. As for the space group: P4mm, No. 99. As for the calculated density: 8.27 g/cm3. The calculation puts the electronic total energy at -6.160 eV per atom. As for the density of states at the Fermi level: 2.31 states/eV/f.u. The calculation puts the formation energy at -220 meV per atom.

---

[5]
Here is crystalline TmMgZnOs at its relaxed geometry from the Alexandria database. Energies are from PBE-GGA.

```
TmMgZnOs
1.0
6.633 0.000 0.000
0.000 6.633 0.000
0.000 0.000 6.633
Tm Mg Zn Os
4 4 4 4
Cartesian
0.000 0.000 0.000
0.000 3.317 3.317
3.317 0.000 3.317
3.317 3.317 0.000
0.000 0.000 3.317
0.000 3.317 0.000
3.317 0.000 0.000
3.317 3.317 3.317
1.658 1.658 1.658
1.658 4.975 4.975
4.975 1.658 4.975
4.975 4.975 1.658
1.658 1.658 4.975
1.658 4.975 1.658
4.975 1.658 1.658
4.975 4.975 4.975
```

For the magnetization, the calculation gives 0.00 μB per cell. As for the space group: F-43m, No. 216. As for the calculated density: 10.21 g/cm3. The calculation puts the electronic total energy at -4.706 eV per atom. As for the density of states at the Fermi level: 3.81 states/eV/f.u. The calculation puts the formation energy at -63 meV per atom.

---

[6]
Here is crystalline MgUOs4 at its relaxed geometry from the Alexandria database. Energies are from PBE-GGA.

```
MgUOs4
1.0
0.000 3.726 3.726
3.726 0.000 3.726
3.726 3.726 0.000
Mg U Os
1 1 4
Cartesian
0.000 0.000 0.000
1.863 1.863 1.863
4.660 2.791 2.791
2.791 4.660 2.791
2.791 2.791 4.660
4.660 4.660 4.660
```

For the magnetization, the calculation gives 0.74 μB per cell. As for the space group: F-43m, No. 216. As for the calculated density: 16.43 g/cm3. The calculation puts the electronic total energy at -9.602 eV per atom. As for the density of states at the Fermi level: 6.68 states/eV/f.u. The calculation puts the formation energy at 31 meV per atom.

---

[7]
Here is crystalline Mg2VOs2 at its relaxed geometry from the Alexandria database. Energies are from PBE-GGA.

```
Mg2VOs2
1.0
6.255 0.000 0.000
0.000 6.255 0.000
0.000 0.000 4.423
Mg V Os
4 2 4
Cartesian
1.067 2.061 0.000
2.061 5.189 0.000
4.194 1.067 0.000
5.189 4.194 0.000
0.000 0.000 2.212
3.128 3.128 2.212
0.864 3.992 2.212
2.264 0.864 2.212
3.992 5.392 2.212
5.392 2.264 2.212
```

For the magnetization, the calculation gives 0.00 μB per cell. As for the space group: P4/mbm, No. 127. As for the calculated density: 9.21 g/cm3. The calculation puts the electronic total energy at -6.735 eV per atom. As for the density of states at the Fermi level: 4.47 states/eV/f.u. The calculation puts the formation energy at 218 meV per atom.

---

[8]
Here is crystalline MgV2Os2 at its relaxed geometry from the Alexandria database. Energies are from PBE-GGA.

```
MgV2Os2
1.0
7.386 0.000 0.000
0.000 7.386 0.000
0.000 0.000 2.815
Mg V Os
2 4 4
Cartesian
0.000 0.000 0.000
3.693 3.693 0.000
1.066 2.627 0.000
2.627 6.320 0.000
4.759 1.066 0.000
6.320 4.759 0.000
1.107 4.800 1.407
2.586 1.107 1.407
4.800 6.279 1.407
6.279 2.586 1.407
```

As for the excess energy over the best structure of this formula in the dataset: 30.7 meV per atom. For the magnetization, the calculation gives 0.00 μB per cell. As for the space group: P4/mbm, No. 127. As for the calculated density: 10.96 g/cm3. The calculation puts the electronic total energy at -8.459 eV per atom. As for the density of states at the Fermi level: 4.15 states/eV/f.u. The calculation puts the formation energy at -1 meV per atom.

---

[9]
Here is crystalline Mg3VOs at its relaxed geometry from the Alexandria database. Energies are from PBE-GGA.

```
Mg3VOs
1.0
4.939 0.000 0.000
0.000 4.939 0.000
0.000 0.000 4.939
Mg V Os
3 1 1
Cartesian
0.000 0.000 2.470
0.000 2.470 0.000
2.470 0.000 0.000
2.470 2.470 2.470
0.000 0.000 0.000
```

As for the excess energy over the best structure of this formula in the dataset: 0.0 meV per atom. For the magnetization, the calculation gives 3.55 μB per cell. As for the space group: Pm-3m, No. 221. As for the calculated density: 4.33 g/cm3. The calculation puts the electronic total energy at -4.050 eV per atom. As for the density of states at the Fermi level: 5.19 states/eV/f.u. The calculation puts the formation energy at 977 meV per atom.

---

[10]
Here is crystalline Mg3VOs at its relaxed geometry from the Alexandria database. Energies are from PBE-GGA.

```
Mg3VOs
1.0
4.851 0.000 0.000
0.000 4.851 0.000
0.000 0.000 4.851
Mg V Os
3 1 1
Cartesian
0.000 0.000 2.426
0.000 2.426 0.000
2.426 0.000 0.000
0.000 0.000 0.000
2.426 2.426 2.426
```

As for the excess energy over the best structure of this formula in the dataset: 798.1 meV per atom. For the magnetization, the calculation gives 6.22 μB per cell. As for the space group: Pm-3m, No. 221. As for the calculated density: 4.57 g/cm3. The calculation puts the electronic total energy at -3.252 eV per atom. As for the density of states at the Fermi level: 3.63 states/eV/f.u. The calculation puts the formation energy at 1775 meV per atom.

---

[11]
Here is crystalline MgV2Os2 at its relaxed geometry from the Alexandria database. Energies are from PBE-GGA.

```
MgV2Os2
1.0
7.352 0.000 0.000
0.000 7.352 0.000
0.000 0.000 2.854
Mg V Os
2 4 4
Cartesian
0.000 0.000 0.000
3.676 3.676 0.000
1.120 2.556 1.427
2.556 6.231 1.427
4.796 1.120 1.427
6.231 4.796 1.427
1.046 4.722 0.000
2.630 1.046 0.000
4.722 6.306 0.000
6.306 2.630 0.000
```

As for the excess energy over the best structure of this formula in the dataset: 0.0 meV per atom. For the magnetization, the calculation gives 0.00 μB per cell. As for the space group: P4/mbm, No. 127. As for the calculated density: 10.91 g/cm3. The calculation puts the electronic total energy at -8.490 eV per atom. As for the density of states at the Fermi level: 3.81 states/eV/f.u. The calculation puts the formation energy at -32 meV per atom.

---

[12]
Here is crystalline MgVOs3 at its relaxed geometry from the Alexandria database. Energies are from PBE-GGA.

```
MgVOs3
1.0
4.509 0.000 0.000
0.000 4.509 0.000
0.000 0.000 4.509
Mg V Os
1 1 3
Cartesian
0.000 0.000 0.000
2.255 2.255 2.255
0.000 2.255 2.255
2.255 0.000 2.255
2.255 2.255 0.000
```

As for the excess energy over the best structure of this formula in the dataset: 0.0 meV per atom. For the magnetization, the calculation gives 0.54 μB per cell. As for the space group: Pm-3m, No. 221. As for the calculated density: 11.70 g/cm3. The calculation puts the electronic total energy at -7.535 eV per atom. As for the density of states at the Fermi level: 6.46 states/eV/f.u. The calculation puts the formation energy at 1346 meV per atom.

---

[13]
Here is crystalline MgVOs3 at its relaxed geometry from the Alexandria database. Energies are from PBE-GGA.

```
MgVOs3
1.0
4.379 0.000 0.000
0.000 4.379 0.000
0.000 0.000 4.379
Mg V Os
1 1 3
Cartesian
0.000 0.000 0.000
2.190 2.190 2.190
0.000 0.000 2.190
0.000 2.190 0.000
2.190 0.000 0.000
```

As for the excess energy over the best structure of this formula in the dataset: 786.9 meV per atom. For the magnetization, the calculation gives 0.00 μB per cell. As for the space group: Pm-3m, No. 221. As for the calculated density: 12.77 g/cm3. The calculation puts the electronic total energy at -6.748 eV per atom. As for the density of states at the Fermi level: 3.97 states/eV/f.u. The calculation puts the formation energy at 2133 meV per atom.